The following is a PBE-GGA calculation of a relaxed structure of HRuO2F, from Alexandria via LeMat-Bulk.

Properties
- final energy (hartree per atom) = -0.1735

Structure (CIF):
```
data_HRuO2F
_chemical_formula_sum 'H1 Ru1 O2 F1'
_space_group_name_H-M_alt 'P 1'
_space_group_IT_number 1
_cell_length_a 3.884
_cell_length_b 3.884
_cell_length_c 2.569
_cell_angle_alpha 90.00
_cell_angle_beta 90.00
_cell_angle_gamma 90.00
loop_
_space_group_symop_operation_xyz
'x,y,z'
loop_
_atom_site_label
_atom_site_type_symbol
_atom_site_fract_x
_atom_site_fract_y
_atom_site_fract_z
_atom_site_occupancy
H1 H 0.000 0.000 0.000 1
Ru1 Ru 0.500 0.500 0.500 1
O1 O 0.000 0.500 0.000 1
O2 O 0.500 0.000 0.000 1
F1 F 0.000 0.000 0.500 1
```